An optimized crystal structure of PrNd2As3. Source: Alexandria, functional PBE.

Results
Formation enthalpy at 0 K: -1509 meV/atom
Symmetry: Immm (71)
Total moment: 0.0 Bohr magnetons per cell

Structure (POSCAR):
```
PrNd2As3
1.0
-2.145 3.028 6.425
2.145 -3.028 6.425
2.145 3.028 -6.425
Pr Nd As
1 2 3
Direct
0.000 0.000 0.000
0.334 0.334 0.000
0.666 0.666 0.000
0.168 0.668 0.500
0.500 0.000 0.500
0.832 0.332 0.500
```